Below is crystalline TbY6Mg at its relaxed geometry, with properties calculated at the PBE level.

Uncorrected energy: -5.5087 eV per atom
Energy relative to the lowest polymorph listed for this composition: 88 meV/atom
Total magnetization: 0.000 μB/atom

Cell lengths 9.3576, 8.6101, 6.3555 Å; angles 47.40, 42.60, 57.10 degrees
Sites, in units of the cell vectors:
Y1 0.4632 0.7574 0.8223
Y2 0.7574 0.9567 0.7493
Y3 0.0429 0.4631 0.7366
Y4 0.5368 0.2426 0.1777
Y5 0.9571 0.5369 0.2634
Y6 0.2426 0.0433 0.2507
Tb1 0.5000 0.5000 0.5000
Mg1 0.0000 0.0000 0.0000

Below is crystalline TbYMg at its relaxed geometry, with properties calculated at the PBE level.

Uncorrected energy: -4.1892 eV per atom
Energy relative to the lowest polymorph listed for this composition: 119 meV/atom
Total magnetization: 0.000 μB/atom

Cell lengths 3.4062, 5.4526, 5.4526 Å; angles 120.00, 90.00, 90.00 degrees
Sites, in units of the cell vectors:
Y1 0.6207 0.6667 0.3333
Tb1 0.0492 0.0000 0.0000
Mg1 0.3301 0.3333 0.6667

Below is crystalline Tb12Y6Mg at its relaxed geometry, with properties calculated at the PBE level.

Uncorrected energy: -4.9013 eV per atom
Energy relative to the lowest polymorph listed for this composition: 17 meV/atom
Total magnetization: 0.000 μB/atom

Cell lengths 8.5159, 8.5159, 8.5159 Å; angles 91.92, 91.92, 91.92 degrees
Sites, in units of the cell vectors:
Tb1 0.3726 0.0501 0.1496
Tb2 0.4623 0.7918 0.5246
Tb3 0.0501 0.1496 0.3726
Tb4 0.6274 0.9499 0.8504
Tb5 0.8504 0.6274 0.9499
Tb6 0.9499 0.8504 0.6274
Tb7 0.2082 0.4754 0.5377
Tb8 0.5246 0.4623 0.7918
Tb9 0.7918 0.5246 0.4623
Tb10 0.1496 0.3726 0.0501
Tb11 0.5377 0.2082 0.4754
Tb12 0.4754 0.5377 0.2082
Y1 0.8857 0.2647 0.7295
Y2 0.7295 0.8857 0.2647
Y3 0.2705 0.1143 0.7353
Y4 0.1143 0.7353 0.2705
Y5 0.2647 0.7295 0.8857
Y6 0.7353 0.2705 0.1143
Mg1 0.0000 0.0000 0.0000